4
Lattice="-4.125 2.128 -1.378 0.879 -1.194 -4.476 -2.307 -4.064 0.630" Properties=species:S:1:pos:R:3 comment="SrZnCd2 GGA-PBE relaxed" space_group="P4/mmm (123)" e_tot_ev_per_cell=-5.3 dos_ef_per_ev_cell=2.3 pbc="T T T"
Zn -2.062 1.064 -0.689
Sr -2.776 -1.564 -2.612
Cd 0.440 -0.597 -2.238
Cd -1.154 -2.032 0.315



19
Lattice="-4.031 -0.255 6.623 6.055 0.261 4.841 -0.153 7.638 1.347" Properties=species:S:1:pos:R:3 comment="Sr2ZnCd16 GGA-PBE relaxed" space_group="R3m (160)" e_tot_ev_per_cell=-22.1 dos_ef_per_ev_cell=6.6 pbc="T T T"
Zn 1.683 6.874 11.520
Cd 3.702 2.812 6.927
Cd 1.267 1.342 7.558
Cd 3.744 7.679 9.558
Cd -0.993 7.437 10.395
Cd 3.065 5.001 5.112
Cd 0.580 6.522 5.170
Cd -1.029 -0.098 6.098
Cd -1.612 4.762 5.938
Cd 4.209 2.459 3.807
Cd 1.923 3.972 12.036
Cd 3.056 0.111 5.377
Cd -1.371 2.552 7.823
Cd -1.305 5.293 2.922
Cd 0.178 0.725 1.215
Cd 1.695 5.446 2.392
Cd -2.876 2.097 5.059
Sr 1.246 5.088 8.527
Sr 0.624 2.550 4.273



16
Lattice="5.658 0.000 0.000 0.000 7.503 0.000 0.000 0.000 14.032" Properties=species:S:1:pos:R:3 comment="Sr5ZnCd2 GGA-PBE relaxed" space_group="Pbam (55)" e_tot_ev_per_cell=-26.0 dos_ef_per_ev_cell=16.6 pbc="T T T"
Sr 0.000 3.751 7.016
Sr 0.000 6.512 10.052
Sr 0.000 0.991 3.980
Sr 0.000 4.742 3.036
Sr 2.829 2.468 1.392
Sr 0.000 2.761 10.996
Sr 2.829 1.283 8.408
Sr 2.829 6.220 5.624
Sr 2.829 5.035 12.640
Sr 0.000 0.000 0.000
Cd 2.829 4.743 9.007
Cd 2.829 2.759 5.025
Cd 2.829 0.992 12.041
Cd 2.829 6.511 1.991
Zn 0.000 0.000 7.016
Zn 0.000 3.751 0.000



12
Lattice="5.663 0.000 0.000 2.832 4.905 0.000 2.832 1.635 9.383" Properties=species:S:1:pos:R:3 comment="Sr3Zn8Cd GGA-PBE relaxed" space_group="R3m (160)" e_tot_ev_per_cell=-17.9 dos_ef_per_ev_cell=6.0 pbc="T T T"
Sr 8.495 4.905 0.166
Sr 5.663 3.270 8.174
Sr 5.663 3.270 4.571
Zn 4.248 2.453 1.767
Zn 2.832 1.635 4.053
Zn 9.907 5.720 6.405
Zn 7.083 5.720 6.405
Zn 8.495 3.274 6.405
Zn 8.495 4.905 8.858
Zn 7.079 2.453 1.767
Zn 5.663 4.904 1.767
Cd 8.495 4.905 3.613



7
Lattice="4.543 0.000 0.000 -2.272 5.603 -2.370 0.000 0.067 8.694" Properties=species:S:1:pos:R:3 comment="Sr3Zn2Cd2 GGA-PBE relaxed" space_group="C2/m (12)" e_tot_ev_per_cell=-11.3 dos_ef_per_ev_cell=4.8 pbc="T T T"
Zn 0.000 2.303 7.244
Zn 2.272 3.367 -0.920
Sr 2.272 0.000 0.000
Sr 0.000 3.544 1.545
Sr 2.272 2.126 4.779
Cd 0.000 0.289 2.776
Cd 2.272 5.381 3.548



10
Lattice="8.033 0.000 0.000 0.000 8.033 0.000 0.000 0.000 3.795" Properties=species:S:1:pos:R:3 comment="SrZn2Cd2 GGA-PBE relaxed" space_group="P4/mbm (127)" e_tot_ev_per_cell=-12.7 polymorph_energy_ev_per_atom=0.178 dos_ef_per_ev_cell=4.8 pbc="T T T"
Cd 1.438 5.454 1.898
Cd 5.454 6.595 1.898
Cd 2.578 1.438 1.898
Cd 6.595 2.578 1.898
Zn 7.114 4.935 0.000
Zn 3.098 7.114 0.000
Zn 0.918 3.098 0.000
Zn 4.935 0.918 0.000
Sr 0.000 0.000 0.000
Sr 4.016 4.016 0.000



17
Lattice="-4.286 -0.648 7.064 1.632 -7.572 -2.946 7.116 3.996 1.443" Properties=species:S:1:pos:R:3 comment="SrZn4Cd12 GGA-PBE relaxed" space_group="Im-3 (204)" e_tot_ev_per_cell=-16.4 dos_ef_per_ev_cell=6.2 pbc="T T T"
Zn 3.558 1.998 0.722
Zn 0.816 -3.786 -1.473
Zn -2.143 -0.324 3.532
Zn 2.231 -2.113 2.780
Cd 6.154 -1.807 0.359
Cd 1.429 0.890 6.199
Cd 4.007 -0.806 4.367
Cd -0.354 -5.928 2.450
Cd 4.816 1.702 3.110
Cd 0.565 -0.131 3.604
Cd 0.455 -3.419 1.194
Cd 3.033 -5.115 -0.639
Cd 3.897 -4.094 1.957
Cd 0.977 -3.509 4.743
Cd 3.485 -0.716 0.817
Cd -1.692 -2.418 5.202
Sr 0.000 0.000 0.000



5
Lattice="-3.683 -4.893 -0.869 0.835 -1.675 5.895 -4.899 3.393 1.657" Properties=species:S:1:pos:R:3 comment="SrZn3Cd GGA-PBE relaxed" space_group="Pm-3m (221)" e_tot_ev_per_cell=-2.8 polymorph_energy_ev_per_atom=0.838 dos_ef_per_ev_cell=4.5 pbc="T T T"
Cd -3.873 -1.587 3.342
Zn -1.841 -2.446 -0.434
Zn -2.449 1.696 0.829
Zn 0.417 -0.837 2.948
Sr 0.000 0.000 0.000



4
Lattice="-4.531 0.324 -0.247 -0.232 -3.672 -0.557 -0.515 -2.615 6.006" Properties=species:S:1:pos:R:3 comment="SrZnCd2 GGA-PBE relaxed" space_group="P2/m (10)" e_tot_ev_per_cell=-5.3 dos_ef_per_ev_cell=1.9 pbc="T T T"
Sr -2.452 -1.410 1.239
Cd -0.702 -5.816 5.241
Cd -0.419 -3.616 2.933
Zn -2.826 -4.554 3.963



16
Lattice="-3.155 -0.081 3.763 2.994 -8.696 -0.883 7.586 1.961 6.404" Properties=species:S:1:pos:R:3 comment="Sr2ZnCd5 GGA-PBE relaxed" space_group="Cmcm (63)" e_tot_ev_per_cell=-22.6 dos_ef_per_ev_cell=9.1 pbc="T T T"
Sr 3.793 0.981 3.202
Sr 2.459 -2.980 1.998
Sr 0.000 0.000 0.000
Sr 4.965 -3.836 7.286
Cd 0.112 -5.282 3.185
Cd 8.369 -4.300 6.926
Cd -0.945 -2.516 2.358
Cd 3.043 -6.582 2.409
Cd 7.312 -1.533 6.099
Cd 5.020 -5.165 4.099
Cd 5.132 -2.097 4.258
Cd 2.404 -1.650 5.185
Cd 2.292 -4.719 5.026
Cd 4.381 -0.233 6.874
Zn 0.479 -0.540 3.595
Zn 6.945 -6.275 5.688



11
Lattice="4.450 0.000 0.000 0.000 8.462 0.000 0.000 -4.231 7.328" Properties=species:S:1:pos:R:3 comment="Sr2Zn3Cd6 GGA-PBE relaxed" space_group="P-62m (189)" e_tot_ev_per_cell=-14.7 dos_ef_per_ev_cell=8.1 pbc="T T T"
Cd 2.225 -1.259 2.180
Cd 2.225 2.972 5.148
Cd 2.225 2.517 0.000
Cd 0.000 0.848 1.469
Cd 0.000 6.766 0.000
Cd 0.000 -3.383 5.860
Sr 0.000 0.000 4.886
Sr 0.000 4.231 2.443
Zn 2.225 1.624 2.813
Zn 2.225 -2.607 4.515
Zn 2.225 5.214 0.000



9
Lattice="-2.015 -0.344 6.337 0.757 -6.356 -0.104 4.865 3.775 1.752" Properties=species:S:1:pos:R:3 comment="Sr2ZnCd6 GGA-PBE relaxed" space_group="P-3m1 (164)" e_tot_ev_per_cell=-12.3 dos_ef_per_ev_cell=4.1 pbc="T T T"
Sr 3.218 0.351 2.006
Sr 0.389 -3.275 5.979
Cd 0.441 -1.656 2.345
Cd 3.150 -2.900 3.139
Cd 0.458 -0.025 4.846
Cd 3.166 -1.268 5.640
Cd 2.801 1.794 5.690
Cd 0.806 -4.719 2.295
Zn 0.000 0.000 0.000



5
Lattice="-1.025 0.736 -4.940 -4.995 -0.109 1.020 0.042 5.044 0.743" Properties=species:S:1:pos:R:3 comment="SrZn3Cd GGA-PBE relaxed" space_group="Pm-3m (221)" e_tot_ev_per_cell=-5.8 polymorph_energy_ev_per_atom=0.223 dos_ef_per_ev_cell=2.6 pbc="T T T"
Zn 0.021 2.522 0.371
Zn -2.497 -0.055 0.510
Zn -0.513 0.368 -2.470
Sr -2.989 2.836 -1.589
Cd 0.000 0.000 0.000



6
Lattice="4.020 -0.001 0.000 0.001 4.020 0.000 -0.001 -0.001 14.414" Properties=species:S:1:pos:R:3 comment="Sr4ZnCd GGA-PBE relaxed" space_group="P4/mmm (123)" e_tot_ev_per_cell=-10.0 polymorph_energy_ev_per_atom=0.000 dos_ef_per_ev_cell=5.7 pbc="T T T"
Sr 0.000 0.000 5.187
Sr 2.011 2.010 1.888
Sr 2.010 2.009 12.526
Sr 4.020 4.019 9.226
Zn 0.000 0.000 0.000
Cd 2.010 2.009 7.207



10
Lattice="4.499 0.000 0.000 0.000 4.499 0.000 0.000 0.000 12.245" Properties=species:S:1:pos:R:3 comment="Sr2Zn3Cd5 GGA-PBE relaxed" space_group="P-4m2 (115)" e_tot_ev_per_cell=-14.1 dos_ef_per_ev_cell=4.6 pbc="T T T"
Cd 2.249 2.249 0.000
Cd 0.000 0.000 0.000
Cd 2.249 2.249 6.123
Cd 0.000 2.249 1.910
Cd 2.249 0.000 10.335
Zn 0.000 0.000 6.123
Zn 0.000 2.249 4.593
Zn 2.249 0.000 7.652
Sr 0.000 2.249 8.956
Sr 2.249 0.000 3.290



19
Lattice="7.037 -0.045 -0.040 0.868 6.983 -0.040 0.868 0.762 6.941" Properties=species:S:1:pos:R:3 comment="Sr2Zn15Cd2 GGA-PBE relaxed" space_group="R-3m (166)" e_tot_ev_per_cell=-27.4 dos_ef_per_ev_cell=5.6 pbc="T T T"
Zn 3.518 -0.023 -0.020
Zn 5.275 1.602 4.475
Zn 6.500 2.677 2.385
Zn 0.868 2.607 4.870
Zn 0.434 3.492 -0.020
Zn 2.273 5.023 4.475
Zn 5.207 0.194 2.031
Zn 0.434 0.381 3.471
Zn 2.698 0.522 4.870
Zn 5.275 4.630 1.078
Zn 3.498 6.098 2.385
Zn 0.868 5.138 2.031
Zn 2.698 4.898 -0.040
Zn 5.207 2.040 -0.040
Zn 3.498 3.070 5.783
Sr 3.013 2.645 2.357
Sr 5.759 5.055 4.504
Cd 7.847 6.887 6.137
Cd 0.926 0.813 0.724



4
Lattice="4.509 0.000 0.000 0.000 3.804 0.020 0.000 1.898 6.265" Properties=species:S:1:pos:R:3 comment="SrZnCd2 GGA-PBE relaxed" space_group="Pm (6)" e_tot_ev_per_cell=-5.4 dos_ef_per_ev_cell=2.0 pbc="T T T"
Sr 0.000 3.090 3.381
Zn 2.255 4.976 4.828
Cd 0.000 3.095 0.068
Cd 2.255 1.195 1.172



11
Lattice="-1.681 -6.217 -2.640 0.412 5.109 -7.504 8.168 -1.704 3.599" Properties=species:S:1:pos:R:3 comment="Sr8ZnCd2 GGA-PBE relaxed" space_group="Cm (8)" e_tot_ev_per_cell=-17.6 polymorph_energy_ev_per_atom=0.035 dos_ef_per_ev_cell=12.0 pbc="T T T"
Sr 4.934 -6.419 -1.278
Sr 5.190 1.272 -5.500
Sr 7.179 -0.476 -2.652
Sr 0.358 -2.399 -7.829
Sr 2.764 0.145 -1.842
Sr 1.852 -3.773 -0.960
Sr -0.133 -2.029 -3.802
Sr 4.205 -2.767 -4.635
Cd 4.997 -2.571 -1.147
Cd 2.058 0.010 -5.353
Zn -0.300 -1.154 -0.499



13
Lattice="5.555 0.000 0.000 2.778 6.820 -0.143 2.778 0.020 6.821" Properties=species:S:1:pos:R:3 comment="SrZn6Cd6 GGA-PBE relaxed" space_group="Immm (71)" e_tot_ev_per_cell=-16.1 dos_ef_per_ev_cell=3.1 pbc="T T T"
Zn 5.555 1.565 5.239
Zn 1.389 0.010 3.411
Zn 5.555 5.275 1.439
Zn 4.167 3.410 -0.072
Zn 1.389 3.410 -0.072
Zn 4.167 0.010 3.411
Cd 5.555 2.389 2.333
Cd 2.778 2.384 4.400
Cd 2.778 1.384 1.351
Cd 5.555 4.451 4.346
Cd 8.333 5.456 5.327
Cd 2.778 4.456 2.278
Sr 0.000 0.000 0.000



4
Lattice="-2.406 3.959 7.207 1.361 1.562 8.314 1.761 5.633 6.211" Properties=species:S:1:pos:R:3 comment="Sr2ZnCd GGA-PBE relaxed" space_group="R-3m (166)" e_tot_ev_per_cell=-6.0 dos_ef_per_ev_cell=3.0 pbc="T T T"
Zn 0.179 2.788 5.433
Sr 0.361 5.627 10.963
Sr 0.713 11.103 21.634
Cd 0.537 8.365 16.299



8
Lattice="5.074 0.000 0.000 0.000 5.074 0.000 2.537 2.537 9.651" Properties=species:S:1:pos:R:3 comment="SrZnCd2 GGA-PBE relaxed" space_group="I-42d (122)" e_tot_ev_per_cell=-9.8 dos_ef_per_ev_cell=5.8 pbc="T T T"
Zn 2.537 5.074 4.825
Zn 2.537 2.537 0.000
Cd 6.343 5.669 7.238
Cd 1.942 3.806 2.413
Cd 3.132 1.269 2.413
Cd 3.806 4.479 7.238
Sr 5.074 2.537 4.825
Sr 0.000 0.000 0.000



13
Lattice="5.185 0.000 2.130 2.586 6.898 1.081 -0.028 0.040 7.446" Properties=species:S:1:pos:R:3 comment="SrZn5Cd7 GGA-PBE relaxed" space_group="Imm2 (44)" e_tot_ev_per_cell=-15.8 dos_ef_per_ev_cell=3.7 pbc="T T T"
Cd 6.855 4.514 5.441
Cd 3.474 4.519 6.296
Cd 6.066 2.444 7.362
Cd 4.626 5.442 3.491
Cd 2.010 1.538 2.483
Cd 4.270 2.418 4.359
Cd 3.120 1.490 7.159
Zn 7.721 6.863 6.997
Zn 5.147 6.863 5.939
Zn 5.742 5.378 8.153
Zn 3.888 3.561 9.004
Zn 6.462 3.561 10.061
Sr 2.566 6.918 8.508